No. 1
{
  "formula": "Tb4SmTm2",
  "functional": "PBE-GGA",
  "state": "relaxed",
  "cell": [[8.455, 0.002, 0.212], [-0.010, 8.399, 0.266], [-4.136, -4.099, 2.996]],
  "species": ["Tm", "Tm", "Tb", "Tb", "Sm", "Tb", "Tb"],
  "fractional_positions": [[0.231, 0.770, 0.498], [0.770, 0.230, 0.503], [0.685, 0.687, 0.978], [0.698, 0.302, 0.001], [0.999, 0.999, 0.997], [0.315, 0.313, 0.022], [0.303, 0.699, 0.001]],
  "relative_energy_mev_per_atom": 169,
  "ef_kj_per_mol_atoms": 19.5,
  "dos_at_fermi_per_ev_cell": 10.86,
  "magmom_total_mub_per_atom": 0.000,
  "volume_a3_per_cell": 229.3,
  "sg": "No. 1",
  "density_g_cm3": 8.1
}

=====

No. 2
{
  "formula": "Tb9SmTm2",
  "functional": "PBE-GGA",
  "state": "relaxed",
  "cell": [[-2.728, -3.544, 2.294], [4.211, -2.097, 1.768], [-0.868, 8.644, 12.324]],
  "species": ["Tb", "Tb", "Tm", "Tb", "Tm", "Tb", "Sm", "Tb", "Tb", "Tb", "Tb", "Tb"],
  "fractional_positions": [[0.500, 0.000, 0.500], [0.500, 0.500, 0.335], [0.000, 0.000, 0.334], [0.500, 0.500, 0.665], [0.000, 0.000, 0.666], [0.500, 0.500, 0.000], [0.000, 0.000, 0.000], [0.500, 0.000, 0.169], [0.000, 0.500, 0.500], [0.000, 0.500, 0.831], [0.000, 0.500, 0.169], [0.500, 0.000, 0.831]],
  "relative_energy_mev_per_atom": 0,
  "ef_kj_per_mol_atoms": 2.0,
  "dos_at_fermi_per_ev_cell": 18.11,
  "magmom_total_mub_per_atom": 0.000,
  "volume_a3_per_cell": 380.8,
  "sg": "No. 123",
  "density_g_cm3": 8.4
}

=====

No. 3
{
  "formula": "Tb4Sm10Tm",
  "functional": "PBE-GGA",
  "state": "relaxed",
  "cell": [[-2.045, -7.361, -1.299], [2.102, -3.123, -8.729], [6.746, -6.336, 2.171]],
  "species": ["Tb", "Sm", "Sm", "Sm", "Tb", "Sm", "Tb", "Sm", "Sm", "Sm", "Tm", "Sm", "Sm", "Sm", "Tb"],
  "fractional_positions": [[0.399, 0.802, 0.400], [0.348, 0.701, 0.101], [0.850, 0.701, 0.101], [0.652, 0.299, 0.899], [0.201, 0.400, 0.198], [0.049, 0.101, 0.299], [0.601, 0.198, 0.600], [0.551, 0.101, 0.299], [0.250, 0.500, 0.500], [0.449, 0.899, 0.701], [0.000, 0.000, 0.000], [0.951, 0.899, 0.701], [0.150, 0.299, 0.899], [0.750, 0.500, 0.500], [0.799, 0.600, 0.802]],
  "ef_kj_per_mol_atoms": 68.6,
  "dos_at_fermi_per_ev_cell": 19.41,
  "magmom_total_mub_per_atom": 0.000,
  "volume_a3_per_cell": 584.0,
  "sg": "No. 87",
  "density_g_cm3": 6.6
}

=====

No. 4
{
  "formula": "TbSm7Tm4",
  "functional": "PBE-GGA",
  "state": "relaxed",
  "cell": [[-1.544, -0.380, -5.712], [-8.337, -4.817, -0.503], [-7.160, 4.420, -1.437]],
  "species": ["Tm", "Tm", "Sm", "Sm", "Tm", "Sm", "Sm", "Sm", "Tb", "Tm", "Sm", "Sm"],
  "fractional_positions": [[0.429, 0.699, 0.442], [0.330, 0.381, 0.958], [0.787, 0.240, 0.186], [0.085, 0.551, 0.278], [0.571, 0.301, 0.558], [0.786, 0.884, 0.543], [0.500, 0.000, 0.000], [0.915, 0.449, 0.722], [0.000, 0.000, 0.000], [0.670, 0.619, 0.042], [0.214, 0.116, 0.457], [0.213, 0.760, 0.814]],
  "relative_energy_mev_per_atom": 222,
  "ef_kj_per_mol_atoms": 21.5,
  "dos_at_fermi_per_ev_cell": 19.05,
  "magmom_total_mub_per_atom": 0.022,
  "volume_a3_per_cell": 396.6,
  "sg": "No. 12",
  "density_g_cm3": 7.9
}

=====

no.,calculated total energy (eV per cell)
1,-30.77
2,-55.09
3,-59.53
4,-52.87